No. 1
Computed, not measured: crystalline ZrUW at its relaxed geometry at the PBE level of DFT.

It has space group F-43m (No. 216), with a = 6.4466 Å, b = 6.4466 Å, c = 6.4466 Å, α = 90.00°, β = 90.00° and γ = 90.00°. The asymmetric unit holds Zr at (0.0000, 0.0000, 0.0000), U at (0.2500, 0.2500, 0.7500) and W at (0.0000, 0.0000, 0.5000).

The formation energy is 1.24 eV/atom. Its energy is -116.32 eV per cell. The value obtained for the polymorph energy (0 for the lowest one) is 556 meV per atom.

=====

No. 2
Computed, not measured: crystalline GdHo3C2Se2 at its relaxed geometry at the PBE level of DFT.

It has space group P3m1 (No. 156), with a = 3.7549 Å, b = 3.7549 Å, c = 13.2679 Å, α = 90.00°, β = 90.00° and γ = 120.00°. The asymmetric unit holds Gd at (0.0000, 0.0000, 0.0000), Ho at (0.0000, 0.0000, 0.3009), Ho at (0.3333, 0.6667, 0.4996), Ho at (0.3333, 0.6667, 0.7978), C at (0.6667, 0.3333, 0.4005), C at (0.6667, 0.3333, 0.8975), Se at (0.0000, 0.0000, 0.6493) and Se at (0.3333, 0.6667, 0.1534).

Its energy is -53.00 eV per cell.

=====

No. 3
Computed, not measured: crystalline RbDyTe3Pb at its relaxed geometry at the PBE level of DFT.

It has space group Cmcm (No. 63), with a = 4.4921 Å, b = 17.2092 Å, c = 12.8274 Å, α = 90.00°, β = 90.00° and γ = 90.00°. The asymmetric unit holds Rb at (0.0000, 0.2128, 0.2500), Dy at (0.0000, 0.5000, 0.0000), Te at (0.0000, 0.1241, 0.5091), Te at (0.0000, 0.4692, 0.7500) and Pb at (0.0000, 0.0873, 0.7500).

Its energy is -96.46 eV per cell.

=====

No. 4
Computed, not measured: crystalline BeCdInCu at its relaxed geometry at the PBE level of DFT.

It has space group F-43m (No. 216), with a = 6.4032 Å, b = 6.4032 Å, c = 6.4032 Å, α = 90.00°, β = 90.00° and γ = 90.00°. The asymmetric unit holds Be at (0.0000, 0.0000, 0.0000), Cd at (0.2500, 0.2500, 0.7500), In at (0.2500, 0.2500, 0.2500) and Cu at (0.0000, 0.0000, 0.5000).

Its energy is -38.54 eV per cell. The value obtained for the polymorph energy (0 for the lowest one) is 0 meV per atom.